Material: Ho2ErPu3Se6
Method: DFT, PBE
State: optimized geometry

a = 9.039 Å, b = 9.039 Å, c = 8.887 Å
α = 104.26°, β = 104.26°, γ = 24.08°
Sites, in units of the cell vectors:
Ho 0.178 0.178 0.338
Ho 0.822 0.822 0.662
Er 0.000 0.000 0.500
Pu 0.000 0.000 0.000
Pu 0.164 0.164 0.831
Pu 0.836 0.836 0.169
Se 0.339 0.339 0.909
Se 0.342 0.342 0.435
Se 0.487 0.487 0.251
Se 0.513 0.513 0.749
Se 0.658 0.658 0.565
Se 0.661 0.661 0.091

Properties
volume	286.7	Å³/f.u.
uncorrected formation energy	-17.075	eV/f.u.
DOS(E_F)	22.5	states/eV/cell


Material: Ho2ErPuSe4
Method: DFT, PBE
State: optimized geometry

a = 7.058 Å, b = 4.052 Å, c = 7.061 Å
α = 90.00°, β = 109.13°, γ = 90.00°
Sites, in units of the cell vectors:
Ho 0.000 0.000 0.000
Ho 0.000 0.500 0.500
Er 0.500 0.000 0.500
Pu 0.500 0.500 0.000
Se 0.246 0.000 0.745
Se 0.249 0.500 0.254
Se 0.751 0.500 0.746
Se 0.754 0.000 0.255

Properties
volume	190.8	Å³/f.u.
uncorrected formation energy	-13.521	eV/f.u.
DOS(E_F)	8.6	states/eV/cell


Material: Ho3Er2PuSe6
Method: DFT, PBE
State: optimized geometry

a = 9.089 Å, b = 9.089 Å, c = 8.159 Å
α = 103.01°, β = 103.01°, γ = 25.69°
Sites, in units of the cell vectors:
Ho 0.000 0.000 0.000
Ho 0.336 0.336 0.665
Ho 0.664 0.664 0.335
Er 0.337 0.337 0.172
Er 0.663 0.663 0.828
Pu 0.000 0.000 0.500
Se 0.169 0.169 0.082
Se 0.170 0.170 0.586
Se 0.500 0.500 0.245
Se 0.500 0.500 0.755
Se 0.830 0.830 0.414
Se 0.831 0.831 0.918

Properties
volume	284.2	Å³/f.u.
uncorrected formation energy	-20.439	eV/f.u.
DOS(E_F)	7.9	states/eV/cell


Material: Sm2Ho3Er6Pu
Method: DFT, PBE
State: optimized geometry

a = 6.104 Å, b = 6.104 Å, c = 11.626 Å
α = 95.03°, β = 95.03°, γ = 120.03°
Sites, in units of the cell vectors:
Sm 0.167 0.833 0.000
Sm 0.833 0.167 0.000
Ho 0.000 0.000 0.500
Ho 0.333 0.667 0.500
Ho 0.667 0.333 0.500
Er 0.088 0.417 0.750
Er 0.254 0.254 0.250
Er 0.417 0.088 0.750
Er 0.583 0.912 0.250
Er 0.746 0.746 0.750
Er 0.912 0.583 0.250
Pu 0.500 0.500 0.000

Properties
volume	369.2	Å³/f.u.
calculated formation energy	46	meV/atom
DOS(E_F)	24.8	states/eV/cell


Material: SmHoErPu
Method: DFT, PBE
State: optimized geometry

a = 5.594 Å, b = 5.594 Å, c = 5.594 Å
α = 60.00°, β = 60.00°, γ = 60.00°
Sites, in units of the cell vectors:
Sm 0.000 0.000 0.000
Ho 0.750 0.750 0.750
Er 0.250 0.250 0.250
Pu 0.500 0.500 0.500

Properties
volume	123.8	Å³/f.u.
calculated formation energy	200	meV/atom
DOS(E_F)	11.1	states/eV/cell


Material: Sm2Ho6Er3Pu
Method: DFT, PBE
State: optimized geometry

a = 6.114 Å, b = 6.114 Å, c = 11.654 Å
α = 95.03°, β = 95.03°, γ = 120.04°
Sites, in units of the cell vectors:
Sm 0.167 0.833 0.000
Sm 0.833 0.167 0.000
Ho 0.087 0.417 0.749
Ho 0.254 0.254 0.251
Ho 0.417 0.087 0.749
Ho 0.583 0.913 0.251
Ho 0.746 0.746 0.749
Ho 0.913 0.583 0.251
Er 0.000 0.000 0.500
Er 0.333 0.667 0.500
Er 0.667 0.333 0.500
Pu 0.500 0.500 0.000

Properties
volume	371.3	Å³/f.u.
calculated formation energy	47	meV/atom
DOS(E_F)	25.1	states/eV/cell